# RbMnInCl6

A relaxed RbMnInCl6 crystal (PBE-GGA, Alexandria).

Output
* V: 270 Å³/f.u.
* VASP energy: -3.77 eV/atom
* formation energy from raw total energies: -1108 meV per atom

Cell lengths 6.5715, 6.5715, 14.4560 Å; angles 90.00, 90.00, 120.00 degrees
Atoms (fractional coordinates):
Rb  0.0000  0.0000  0.0000
Rb  0.0000  0.0000  0.5000
Mn  0.3333  0.6667  0.2500
Mn  0.6667  0.3333  0.7500
In  0.3333  0.6667  0.7500
In  0.6667  0.3333  0.2500
Cl  0.0354  0.3870  0.1567
Cl  0.0354  0.6484  0.3434
Cl  0.3516  0.3870  0.3434
Cl  0.3516  0.9646  0.1567
Cl  0.3870  0.0354  0.6566
Cl  0.3870  0.3516  0.8434
Cl  0.6130  0.6484  0.1567
Cl  0.6130  0.9646  0.3434
Cl  0.6484  0.0354  0.8434
Cl  0.6484  0.6130  0.6566
Cl  0.9646  0.3516  0.6566
Cl  0.9646  0.6130  0.8434